1.
The following is a PBE-GGA calculation of crystalline TbZn9Pt2 at its relaxed geometry, from Alexandria.

Calculated values
DFT formation energy in eV per atom: -0.394
E above lowest polymorph in meV/atom: 0.0
Space group: I4_1/amd, No. 141

```
TbZn9Pt2
1.0
6.288 0.000 2.895
3.144 7.484 1.447
0.014 0.000 8.246
Zn Tb Pt
18 2 4
direct
0.156 0.173 0.414
0.156 0.414 0.173
0.594 0.086 0.327
0.007 0.673 0.914
0.320 0.086 0.673
0.007 0.914 0.673
0.671 0.173 0.586
0.320 0.673 0.086
0.750 0.500 0.500
0.079 0.914 0.327
0.743 0.586 0.827
0.594 0.327 0.086
0.079 0.327 0.914
0.000 0.000 0.000
0.430 0.827 0.414
0.671 0.586 0.173
0.743 0.827 0.586
0.430 0.414 0.827
0.500 0.000 0.000
0.250 0.500 0.500
0.875 0.250 0.250
0.875 0.250 0.750
0.375 0.750 0.750
0.875 0.750 0.250
```

2.
The following is a PBE-GGA calculation of crystalline Tb3Zn2Pt4 at its relaxed geometry, from Alexandria.

Calculated values
DFT formation energy in eV per atom: -1.001
Space group: C2/m, No. 12

```
Tb3Zn2Pt4
1.0
-0.105 -2.108 -3.656
5.620 0.959 1.723
-3.912 -6.691 3.972
Tb Pt Zn
3 4 2
direct
0.359 0.718 0.306
0.000 0.000 0.000
0.641 0.282 0.694
0.924 0.847 0.590
0.293 0.585 0.933
0.707 0.415 0.067
0.076 0.153 0.410
0.663 0.327 0.330
0.337 0.673 0.670
```

3.
The following is a PBE-GGA calculation of crystalline TbZn12Pt6 at its relaxed geometry, from Alexandria.

Calculated values
DFT formation energy in eV per atom: -0.384
Space group: R-3m, No. 166

```
TbZn12Pt6
1.0
-5.467 1.646 -4.352
-1.587 -6.488 2.632
-0.621 4.486 5.570
Pt Zn Tb
6 12 1
direct
0.281 0.710 0.281
0.719 0.719 0.290
0.719 0.290 0.719
0.710 0.281 0.281
0.281 0.281 0.710
0.290 0.719 0.719
0.890 0.500 0.110
0.862 0.612 0.612
0.612 0.862 0.612
0.388 0.138 0.388
0.890 0.110 0.500
0.138 0.388 0.388
0.388 0.388 0.138
0.110 0.890 0.500
0.110 0.500 0.890
0.612 0.612 0.862
0.500 0.110 0.890
0.500 0.890 0.110
0.000 0.000 0.000
```

4.
The following is a PBE-GGA calculation of crystalline Tb4Zn3Pt at its relaxed geometry, from Alexandria.

Calculated values
DFT formation energy in eV per atom: -0.573
E above lowest polymorph in meV/atom: 0.0
Space group: P4/mmm, No. 123

```
Tb4Zn3Pt
1.0
-3.301 -0.110 1.398
1.401 -0.138 3.299
-0.187 14.048 0.669
Tb Zn Pt
4 3 1
direct
0.000 0.000 0.119
0.000 0.000 0.627
0.000 0.000 0.881
0.000 0.000 0.373
0.500 0.500 0.250
0.500 0.500 0.750
0.500 0.500 0.500
0.500 0.500 0.000
```

5.
The following is a PBE-GGA calculation of crystalline Tb6Zn2Pt at its relaxed geometry, from Alexandria.

Calculated values
DFT formation energy in eV per atom: -0.397
Space group: Immm, No. 71

```
Tb6Zn2Pt
1.0
7.944 0.389 -2.880
-3.985 6.949 -2.716
-0.071 -0.389 8.449
Zn Tb Pt
4 12 2
direct
0.500 0.628 0.128
0.365 0.000 0.365
0.635 0.000 0.635
0.500 0.372 0.872
0.811 0.739 0.549
0.720 0.393 0.674
0.280 0.954 0.674
0.081 0.254 0.827
0.280 0.607 0.326
0.811 0.261 0.072
0.427 0.254 0.173
0.720 0.046 0.326
0.919 0.746 0.173
0.189 0.261 0.451
0.189 0.739 0.928
0.573 0.746 0.827
0.000 0.500 0.500
0.000 0.000 0.000
```

6.
The following is a PBE-GGA calculation of crystalline TbZn3Pt2 at its relaxed geometry, from Alexandria.

Calculated values
DFT formation energy in eV per atom: -0.651
Space group: Immm, No. 71

```
TbZn3Pt2
1.0
-2.683 -1.547 2.299
4.214 -5.090 4.728
1.937 2.797 7.377
Zn Pt Tb
6 4 2
direct
0.326 0.467 0.882
0.674 0.533 0.118
0.000 0.645 0.355
0.326 0.881 0.467
0.674 0.119 0.533
0.000 0.355 0.645
0.812 0.688 0.688
0.500 0.160 0.840
0.188 0.312 0.312
0.500 0.840 0.160
0.864 0.136 0.136
0.136 0.864 0.864
```

7.
The following is a PBE-GGA calculation of crystalline Tb2Zn2Pt at its relaxed geometry, from Alexandria.

Calculated values
DFT formation energy in eV per atom: -0.682
Space group: C2/m, No. 12

```
Tb2Zn2Pt
1.0
4.049 0.000 0.000
2.024 5.212 0.079
2.024 0.916 10.300
Pt Tb Zn
2 4 4
direct
0.793 0.097 0.317
0.207 0.903 0.683
0.505 0.324 0.667
0.495 0.676 0.333
0.308 0.264 0.119
0.692 0.736 0.881
0.971 0.164 0.894
0.029 0.836 0.106
0.155 0.237 0.453
0.845 0.763 0.547
```

8.
The following is a PBE-GGA calculation of crystalline Tb2ZnPt4 at its relaxed geometry, from Alexandria.

Calculated values
DFT formation energy in eV per atom: -0.854
E above lowest polymorph in meV/atom: 37.5
Space group: Fmmm, No. 69

```
Tb2ZnPt4
1.0
6.182 0.011 -0.002
0.002 6.182 0.002
-3.091 -3.098 3.919
Pt Tb Zn
4 2 1
direct
0.282 0.282 0.000
0.283 0.717 0.000
0.718 0.718 0.000
0.717 0.283 0.000
0.750 0.250 0.500
0.250 0.750 0.500
0.000 0.000 0.000
```

9.
The following is a PBE-GGA calculation of crystalline Tb3Zn6Pt5 at its relaxed geometry, from Alexandria.

Calculated values
DFT formation energy in eV per atom: -0.805
Space group: Pmmn, No. 59

```
Tb3Zn6Pt5
1.0
4.228 0.000 0.000
0.000 9.534 0.000
0.000 0.000 12.683
Zn Pt Tb
12 10 6
direct
0.500 0.412 0.180
0.500 0.963 0.000
0.000 0.588 0.680
0.000 0.588 0.320
0.000 0.430 0.500
0.500 0.019 0.652
0.000 0.981 0.848
0.500 0.570 0.000
0.500 0.412 0.820
0.500 0.019 0.348
0.000 0.981 0.152
0.000 0.037 0.500
0.500 0.142 0.845
0.500 0.142 0.155
0.000 0.858 0.655
0.000 0.794 0.000
0.000 0.544 0.884
0.000 0.544 0.116
0.000 0.858 0.345
0.500 0.456 0.616
0.500 0.456 0.384
0.500 0.206 0.500
0.000 0.265 0.000
0.500 0.749 0.804
0.500 0.749 0.196
0.000 0.251 0.304
0.500 0.735 0.500
0.000 0.251 0.696
```

10.
The following is a PBE-GGA calculation of crystalline TbZnPt at its relaxed geometry, from Alexandria.

Calculated values
DFT formation energy in eV per atom: -0.770
Space group: I4mm, No. 107

```
TbZnPt
1.0
3.591 0.000 0.000
0.000 3.591 0.000
-1.795 -1.795 4.574
Zn Tb Pt
1 1 1
direct
0.631 0.631 0.261
0.943 0.943 0.887
0.276 0.276 0.552
```

11.
The following is a PBE-GGA calculation of crystalline Tb2Zn15Pt2 at its relaxed geometry, from Alexandria.

Calculated values
DFT formation energy in eV per atom: -0.345
Space group: R-3m, No. 166

```
Tb2Zn15Pt2
1.0
-2.871 5.864 1.903
0.735 -0.795 6.714
5.726 3.603 0.694
Zn Pt Tb
15 2 2
direct
0.287 0.000 0.713
0.156 0.648 0.648
0.000 0.500 0.000
0.648 0.156 0.648
0.287 0.713 0.000
0.000 0.287 0.713
0.352 0.352 0.844
0.352 0.844 0.352
0.844 0.352 0.352
0.648 0.648 0.156
0.500 0.000 0.000
0.713 0.287 0.000
0.000 0.713 0.287
0.000 0.000 0.500
0.713 0.000 0.287
0.112 0.112 0.112
0.888 0.888 0.888
0.664 0.664 0.664
0.336 0.336 0.336
```

12.
The following is a PBE-GGA calculation of crystalline TbZn2Pt5 at its relaxed geometry, from Alexandria.

Calculated values
DFT formation energy in eV per atom: -0.579
Space group: Immm, No. 71

```
TbZn2Pt5
1.0
-1.271 3.086 -1.833
-3.981 3.153 4.113
2.769 5.186 2.854
Pt Tb Zn
5 1 2
direct
0.000 0.500 0.500
0.637 0.566 0.160
0.637 0.160 0.566
0.363 0.434 0.840
0.363 0.840 0.434
0.000 0.000 0.000
0.754 0.746 0.746
0.246 0.254 0.254
```